# 1
DFT (GGA-PBE) results for a relaxed Zr2Ni2Pd crystal.

Output
E_form	-0.56	eV/atom
energy above the most stable polymorph in this dataset	0.000	eV per atom

Cell: 7.014 7.014 3.316 Å, 90.00 90.00 90.00°
Space group P4/mbm (No. 127)
Inequivalent atoms, fractional coordinates:
Zr  0.174  0.326  0.000 (multiplicity 4)
Ni  0.125  0.625  0.500 (multiplicity 4)
Pd  0.000  0.000  0.500 (multiplicity 2)

# 2
DFT (GGA-PBE) results for a relaxed Ho2Pd5Au crystal.

Output
E_form	-0.91	eV/atom
energy above the most stable polymorph in this dataset	0.008	eV per atom

Cell: 5.914 5.914 8.088 Å, 90.00 90.00 90.00°
Space group I4/mmm (No. 139)
Inequivalent atoms, fractional coordinates:
Ho  0.000  0.500  0.000 (multiplicity 4)
Pd  0.000  0.000  0.000 (multiplicity 2)
Pd  0.250  0.250  0.250 (multiplicity 8)
Au  0.000  0.000  0.500 (multiplicity 2)

# 3
DFT (GGA-PBE) results for a relaxed SmBeBr crystal.

Output
uncorrected formation energy	-2.169	eV per formula unit

Cell: 4.088 17.136 3.978 Å, 90.00 90.00 90.00°
Space group Cmcm (No. 63)
Inequivalent atoms, fractional coordinates:
Sm  0.000  0.087  0.250 (multiplicity 4)
Be  0.000  0.475  0.250 (multiplicity 4)
Br  0.000  0.335  0.250 (multiplicity 4)

# 4
DFT (GGA-PBE) results for a relaxed Tb5Sm2Ho3 crystal.

Output
E_form	0.20	eV/atom
energy above the most stable polymorph in this dataset	0.000	eV per atom

Cell: 10.651 15.850 9.430 Å, 90.00 124.01 90.00°
Space group C2/c (No. 15)
Inequivalent atoms, fractional coordinates:
Tb  0.000  0.029  0.250 (multiplicity 4)
Tb  0.000  0.226  0.250 (multiplicity 4)
Tb  0.000  0.269  0.750 (multiplicity 4)
Tb  0.229  0.118  0.713 (multiplicity 8)
Sm  0.140  0.374  0.547 (multiplicity 8)
Ho  0.000  0.477  0.750 (multiplicity 4)
Ho  0.159  0.120  0.047 (multiplicity 8)

# 5
DFT (GGA-PBE) results for a relaxed HoThSi2Pt2 crystal.

Output
uncorrected formation energy	-6.997	eV per formula unit

Cell: 4.2195 4.2195 7.9806 Å, 90.00 90.00 120.00°
Space group P-3m1 (No. 164)
Inequivalent atoms, fractional coordinates:
Ho  0.0000  0.0000  0.0000 (multiplicity 1)
Th  0.0000  0.0000  0.5000 (multiplicity 1)
Si  0.3333  0.6667  0.7522 (multiplicity 2)
Pt  0.3333  0.6667  0.2351 (multiplicity 2)

# 6
DFT (GGA-PBE) results for a relaxed DyHo4Os2 crystal.

Output
E_form	-0.19	eV/atom

Cell: 7.776 6.259 7.896 Å, 90.00 112.23 90.00°
Space group P2_1/m (No. 11)
Inequivalent atoms, fractional coordinates:
Dy  0.027  0.250  0.160 (multiplicity 2)
Ho  0.240  0.501  0.581 (multiplicity 4)
Ho  0.326  0.750  0.250 (multiplicity 2)
Ho  0.380  0.250  0.020 (multiplicity 2)
Os  0.025  0.250  0.745 (multiplicity 2)
Os  0.414  0.250  0.376 (multiplicity 2)

no.,DFT total energy (eV for the cell shown)
1,-73.271
2,-91.372
3,-49.150
4,-177.367
5,-41.923
6,-93.398